First-principles (PBE) data for a relaxed structure of TlCu2SnCl8, as listed in the Alexandria database.

Geometry as extended XYZ:
```
12
Lattice="6.260 -0.321 0.288 -0.443 6.765 1.606 0.221 2.108 8.892" Properties=species:S:1:pos:R:3 pbc="T T T"
Cl 0.494 5.590 3.642
Cl 3.766 4.973 1.988
Cl 3.026 5.811 6.123
Cl 0.806 7.245 9.033
Cl 5.232 1.307 1.752
Tl 0.110 1.054 4.446
Cl 5.544 2.962 7.144
Cl 2.272 3.580 8.798
Cu 3.167 3.572 6.729
Cl 3.011 2.741 4.662
Sn 0.000 0.000 0.000
Cu 2.870 4.981 4.056
```

Calculated density, Mg/m³: 3.4
Calculated total energy, eV per atom: -3.2119
Formation energy (no corrections), eV/atom: -0.767
Space-group type: No. 2